[1]
Here is a relaxed structure of Zn2GeOs from Alexandria. Energies are from PBE.

Lattice parameters (Å, degrees): 7.946 7.946 4.800 90.00 90.00 90.00
Space group I-42d (No. 122)
Inequivalent atoms, fractional coordinates:
Zn: 0.178 0.250 0.125 x8
Ge: 0.000 0.000 0.500 x4
Os: 0.000 0.000 0.000 x4

**DFT formation energy**: 510 meV per atom
**Magnetization**: 0.0 μB/f.u.
**Total DFT energy (no corrections)**: -65.4 eV for the cell shown
**Crystal system**: tetragonal

[2]
Here is a relaxed structure of Pr7In2Cu2 from Alexandria. Energies are from PBE.

Lattice parameters (Å, degrees): 8.313 11.598 7.255 90.00 90.00 90.00
Space group Cmmm (No. 65)
Inequivalent atoms, fractional coordinates:
Pr: 0.000 0.000 0.000 x2
Pr: 0.000 0.500 0.243 x4
Pr: 0.250 0.250 0.260 x8
In: 0.170 0.000 0.500 x4
Cu: 0.000 0.290 0.000 x4

**DFT formation energy**: -64 meV per atom
**Magnetization**: 0.0 μB/f.u.
**Total DFT energy (no corrections)**: -95.7 eV for the cell shown
**Crystal system**: orthorhombic

[3]
Here is a relaxed structure of K2YZr from Alexandria. Energies are from PBE.

Lattice parameters (Å, degrees): 3.505 5.839 14.301 90.00 90.00 90.00
Space group Immm (No. 71)
Inequivalent atoms, fractional coordinates:
K: 0.000 0.000 0.232 x4
Y: 0.000 0.500 0.000 x2
Zr: 0.000 0.500 0.500 x2

**DFT formation energy**: 735 meV per atom
**Magnetization**: 1.4 μB/f.u.
**Total DFT energy (no corrections)**: -28.5 eV for the cell shown
**Crystal system**: orthorhombic

[4]
Here is a relaxed structure of ScAlIn2 from Alexandria. Energies are from PBE.

Lattice parameters (Å, degrees): 7.953 7.953 5.979 90.00 90.00 90.00
Space group I-42d (No. 122)
Inequivalent atoms, fractional coordinates:
Sc: 0.000 0.000 0.000 x4
Al: 0.000 0.000 0.500 x4
In: 0.219 0.250 0.625 x8

**DFT formation energy**: -20 meV per atom
**Magnetization**: 0.0 μB/f.u.
**Total DFT energy (no corrections)**: -62.5 eV for the cell shown
**Crystal system**: tetragonal